# ZnHSeBr2

Crystalline ZnHSeBr2 at its relaxed geometry (GGA-PBE, Alexandria).

Results
- Offset from the most stable computed form: 0 meV per atom
- Space group: P4/mmm, No. 123
- Magnetic moment: 0.078 μB/atom

Lattice parameters (Å, degrees): 5.3645 5.3645 3.5318 90.00 90.00 90.00
Site moments in Bohr magnetons follow the coordinates.
Atoms (fractional coordinates):
1 H 0.0000 0.0000 0.0000  0.01
2 Br 0.0000 0.5000 0.0000  0.04
3 Br 0.5000 0.0000 0.0000  0.04
4 Se 0.0000 0.0000 0.5000  0.19
5 Zn 0.5000 0.5000 0.5000  0.00